(1)
Material: Ba2PdPb2
Method: DFT, PBE-GGA
State: relaxed

Geometry as POSCAR:
```
Ba2PdPb2
1.0
-3.4449 3.4449 4.1832
3.4449 -3.4449 4.1832
3.4449 3.4449 -4.1832
Ba Pd Pb
2 1 2
direct
0.2500 0.7500 0.5000
0.7500 0.2500 0.5000
0.0000 0.0000 0.0000
0.3255 0.3255 0.0000
0.6745 0.6745 0.0000
```

Output
Its space group is No. 139. The value obtained for the energy above the most stable polymorph in this dataset is 88.2 meV per atom. The calculated total energy comes out at -3.439 eV/atom.

---

(2)
Material: Na2MgOsS4
Method: DFT, PBE-GGA
State: relaxed

Geometry as POSCAR:
```
Na2MgOsS4
1.0
-3.2265 3.2265 4.6321
3.2265 -3.2265 4.6321
3.2265 3.2265 -4.6321
Na Mg Os S
2 1 1 4
direct
0.0000 0.0000 0.0000
0.7500 0.2500 0.5000
0.2500 0.7500 0.5000
0.5000 0.5000 0.0000
0.1859 0.6088 0.0373
0.3912 0.4285 0.5770
0.5715 0.1485 0.9627
0.8515 0.8141 0.4230
```

Output
Its space group is No. 82. The calculated total energy comes out at -4.633 eV/atom. The calculation puts the magnetic moment at 0.00 Bohr magnetons per cell.

---

(3)
Material: LaDyIn5
Method: DFT, PBE-GGA
State: relaxed

Geometry as POSCAR:
```
LaDyIn5
1.0
4.8195 0.0000 0.0000
0.0000 4.8195 0.0000
0.0000 0.0000 8.5384
La Dy In
1 1 5
direct
0.0000 0.0000 0.0000
0.0000 0.0000 0.5000
0.0000 0.5000 0.2728
0.0000 0.5000 0.7272
0.5000 0.0000 0.2728
0.5000 0.0000 0.7272
0.5000 0.5000 0.0000
```

Output
Its space group is No. 123. The calculated total energy comes out at -3.647 eV/atom. The calculation puts the magnetic moment at 0.02 Bohr magnetons per cell.

---

(4)
Material: NaHfNi
Method: DFT, PBE-GGA
State: relaxed

Geometry as POSCAR:
```
NaHfNi
1.0
0.0000 3.1079 3.1079
3.1079 0.0000 3.1079
3.1079 3.1079 0.0000
Na Hf Ni
1 1 1
direct
0.0000 0.0000 0.0000
0.5000 0.5000 0.5000
0.7500 0.7500 0.7500
```

Output
Its space group is No. 216. The value obtained for the energy above the most stable polymorph in this dataset is 0.0 meV per atom. The calculated total energy comes out at -5.077 eV/atom. The calculation puts the magnetic moment at 0.00 Bohr magnetons per cell.

---

(5)
Material: MgNi3H
Method: DFT, PBE-GGA
State: relaxed

Geometry as POSCAR:
```
MgNi3H
1.0
3.6570 0.0000 0.0000
0.0000 3.6570 0.0000
0.0000 0.0000 3.6777
Mg Ni H
1 3 1
direct
0.0000 0.0000 0.0000
0.0000 0.5000 0.5000
0.5000 0.0000 0.5000
0.5000 0.5000 0.0000
0.5000 0.5000 0.5000
```

Output
Its space group is No. 123. The calculated total energy comes out at -4.487 eV/atom. The calculation puts the magnetic moment at 0.63 Bohr magnetons per cell.

---

(6)
Material: Be2Ni2As3P
Method: DFT, PBE-GGA
State: relaxed

Geometry as POSCAR:
```
Be2Ni2As3P
1.0
4.7743 -3.0928 0.0000
4.7743 3.0928 0.0000
-0.7535 0.0000 3.9902
Be Ni As P
2 2 3 1
direct
0.1327 0.1327 0.3277
0.8673 0.8673 0.6723
0.3462 0.3886 0.2967
0.6114 0.6538 0.7033
0.2423 0.7577 0.0000
0.4328 0.1185 0.7867
0.8815 0.5672 0.2133
0.7522 0.2478 0.5000
```

Output
Its space group is No. 5. The calculated total energy comes out at -4.843 eV/atom. The calculation puts the magnetic moment at 0.00 Bohr magnetons per cell.

---

(7)
Material: RbYCuSe3
Method: DFT, PBE-GGA
State: relaxed

Geometry as POSCAR:
```
RbYCuSe3
1.0
9.4303 0.0000 0.0000
0.0000 4.0719 0.0000
-3.6265 0.0000 9.1968
Rb Y Cu Se
2 2 2 6
direct
0.2108 0.2500 0.2383
0.7892 0.7500 0.7617
0.3255 0.7500 0.8541
0.6745 0.2500 0.1459
0.0852 0.2500 0.5981
0.9148 0.7500 0.4019
0.1132 0.2500 0.8536
0.1922 0.7500 0.5330
0.4677 0.7500 0.1632
0.5323 0.2500 0.8368
0.8078 0.2500 0.4670
0.8868 0.7500 0.1464
```

Output
Its space group is No. 11. The calculated total energy comes out at -4.788 eV/atom. The calculation puts the magnetic moment at 0.00 Bohr magnetons per cell.

---

(8)
Material: NdCo2Si2
Method: DFT, PBE-GGA
State: relaxed

Geometry as POSCAR:
```
NdCo2Si2
1.0
-1.9722 1.9722 4.9738
1.9722 -1.9722 4.9738
1.9722 1.9722 -4.9738
Nd Co Si
1 2 2
direct
0.0000 0.0000 0.0000
0.2500 0.7500 0.5000
0.7500 0.2500 0.5000
0.3671 0.3671 0.0000
0.6329 0.6329 0.0000
```

Output
Its space group is No. 139. The calculated total energy comes out at -6.724 eV/atom. The calculation puts the magnetic moment at 0.00 Bohr magnetons per cell.

---

Please write out number 2 again, unchanged.
Material: Na2MgOsS4
Method: DFT, PBE-GGA
State: relaxed

Geometry as POSCAR:
```
Na2MgOsS4
1.0
-3.2265 3.2265 4.6321
3.2265 -3.2265 4.6321
3.2265 3.2265 -4.6321
Na Mg Os S
2 1 1 4
direct
0.0000 0.0000 0.0000
0.7500 0.2500 0.5000
0.2500 0.7500 0.5000
0.5000 0.5000 0.0000
0.1859 0.6088 0.0373
0.3912 0.4285 0.5770
0.5715 0.1485 0.9627
0.8515 0.8141 0.4230
```

Output
Its space group is No. 82. The calculated total energy comes out at -4.633 eV/atom. The calculation puts the magnetic moment at 0.00 Bohr magnetons per cell.

---

Question: Which formula does entry 2 have?
Answer: Na2MgOsS4